Record 1
The following is a DFT calculation (PBE-GGA) of an optimized crystal structure of Al2BiPb2.

Values from the calculation:
For the formation energy, the calculation gives 0.1935 eV/atom. As for the crystal system: tetragonal. The energy relative to the lowest polymorph listed for this composition comes out at 0.00 eV per formula unit. As for the space-group type: P4/mbm.

Unit cell a=7.817 b=7.817 c=4.415 alpha=90.00 beta=90.00 gamma=90.00
Fractional positions:
Al 0.121 0.379 0.000
Al 0.379 0.879 0.000
Al 0.621 0.121 0.000
Al 0.879 0.621 0.000
Bi 0.000 0.000 0.000
Bi 0.500 0.500 0.000
Pb 0.182 0.682 0.500
Pb 0.318 0.182 0.500
Pb 0.682 0.818 0.500
Pb 0.818 0.318 0.500

Record 2
The following is a DFT calculation (PBE-GGA) of an optimized crystal structure of Rb2TaNb.

Values from the calculation:
For the formation energy, the calculation gives 1.7847 eV/atom. As for the crystal system: tetragonal. The energy relative to the lowest polymorph listed for this composition comes out at 0.00 eV per formula unit. As for the space-group type: I-42d.

Unit cell a=9.897 b=9.897 c=9.897 alpha=93.33 beta=93.33 gamma=152.12
Fractional positions:
Rb 0.375 0.206 0.331
Rb 0.794 0.125 0.169
Rb 0.875 0.044 0.669
Rb 0.956 0.625 0.831
Ta 0.250 0.750 0.500
Ta 0.500 0.500 0.000
Nb 0.000 0.000 0.000
Nb 0.750 0.250 0.500